Computed, not measured: HfReAgO6 after structural relaxation at the GGA-PBE level of DFT.

Cell lengths 5.3413, 5.3413, 5.0195 Å; angles 90.00, 90.00, 120.00 degrees
Closest atoms and distances in Å follow each position.
Space group P312 (No. 149)
Inequivalent atoms, fractional coordinates:
1 Hf 0.0000 0.0000 0.0000 (multiplicity 1)  6 O 2.08
2 Re 0.3333 0.6667 0.0000 (multiplicity 1)  6 O 1.91
3 Ag 0.6667 0.3333 0.5000 (multiplicity 1)  6 O 2.47
4 O 0.0544 0.3573 0.2150 (multiplicity 6)  1 Re 1.91, 1 Hf 2.08

Energy: -7.976 eV per atom
Total moment: 0.0000 μB/atom
Crystal system: trigonal
Formation energy from raw total energies: -1.864 eV per atom